First-principles (PBE) data for a relaxed PaMnSi2Ni crystal, as listed in Alexandria.

* uncorrected formation energy: -0.64 eV per atom
* E: -7.700 eV per atom

Cell lengths 3.950, 3.950, 9.681 Å; angles 90.00, 90.00, 90.00 degrees
Space group I-4m2 (No. 119)
Unique sites:
Pa1 0.000 0.000 0.000
Mn1 0.000 0.500 0.250
Si1 0.000 0.000 0.374
Ni1 0.000 0.500 0.750